[1]
NaTiGa2Cl: relaxed, PBE-GGA.

Cell and atoms, written as POSCAR:
```
NaTiGa2Cl
1.0
5.2088 0.0000 0.0000
0.0000 5.2088 0.0000
0.0000 0.0000 4.6435
Na Ti Ga Cl
1 1 2 1
Cartesian
0.0000 0.0000 0.0000
2.6044 2.6044 2.3217
0.0000 2.6044 0.0000
2.6044 0.0000 0.0000
0.0000 0.0000 2.3217
```

Output
energy relative to the elements, uncorrected = 653 meV per atom
space group = No. 123

---

[2]
Nb2CrRu: relaxed, PBE-GGA.

Cell and atoms, written as POSCAR:
```
Nb2CrRu
1.0
-1.4673 2.3104 5.0096
1.4673 -2.3104 5.0096
1.4673 2.3104 -5.0096
Nb Cr Ru
2 1 1
Cartesian
0.0000 0.0000 2.4901
0.0000 0.0000 7.5292
0.0000 0.0000 5.0096
0.0000 0.0000 0.0000
```

Output
ΔE_f = 692.3 meV per atom
space group = No. 71

---

[3]
Ce15PuIn4: relaxed, PBE-GGA.

Cell and atoms, written as POSCAR:
```
Ce15PuIn4
1.0
4.7438 0.0000 0.0000
0.0000 4.7438 0.0000
0.0000 0.0000 24.0165
Ce Pu In
15 1 4
Cartesian
0.0000 0.0000 0.0000
0.0000 0.0000 4.5809
0.0000 0.0000 9.6109
0.0000 0.0000 14.4056
0.0000 0.0000 19.4355
0.0000 2.3719 2.2345
0.0000 2.3719 7.1447
0.0000 2.3719 12.0082
0.0000 2.3719 16.8718
0.0000 2.3719 21.7819
2.3719 0.0000 2.2345
2.3719 0.0000 7.1447
2.3719 0.0000 12.0082
2.3719 0.0000 16.8718
2.3719 0.0000 21.7819
2.3719 2.3719 0.0000
2.3719 2.3719 4.7103
2.3719 2.3719 9.5724
2.3719 2.3719 14.4441
2.3719 2.3719 19.3062
```

Output
ΔE_f = -49.4 meV per atom
space group = No. 123

---

[4]
YV2Ni2: relaxed, PBE-GGA.

Cell and atoms, written as POSCAR:
```
YV2Ni2
1.0
-2.1182 2.1182 4.6125
2.1182 -2.1182 4.6125
2.1182 2.1182 -4.6125
Y V Ni
1 2 2
Cartesian
0.0000 0.0000 0.0000
0.0000 0.0000 3.3429
0.0000 0.0000 5.8822
2.1182 0.0000 2.3063
0.0000 2.1182 2.3063
```

Output
ΔE_f = 105.8 meV per atom
space group = No. 139

---

[5]
Pm3TlTe2: relaxed, PBE-GGA.

Cell and atoms, written as POSCAR:
```
Pm3TlTe2
1.0
6.3439 0.0000 0.0000
0.0000 13.4676 0.0000
-0.0030 0.0000 8.9366
Pm Tl Te
12 4 8
Cartesian
1.5811 1.1117 1.1093
1.5796 5.6221 5.5775
1.5812 1.1087 5.6161
1.5827 5.6251 1.1478
1.5926 10.1037 1.1019
1.5911 10.0977 5.5702
4.7498 3.3699 3.3663
4.7484 3.3639 7.8346
4.7583 7.8425 7.7887
4.7598 12.3589 3.3204
4.7613 7.8455 3.3590
4.7599 12.3559 7.8273
1.5897 7.8834 3.3325
1.5882 12.3180 7.8007
4.7528 1.1496 1.1358
4.7513 5.5842 5.6041
1.5778 3.3379 3.3549
1.5763 3.3960 7.8232
1.5864 7.8535 7.8249
1.5879 12.3479 3.3566
4.7531 1.1197 5.5799
4.7546 5.6141 1.1116
4.7647 10.0717 1.1134
4.7632 10.1298 5.5816
```

Output
energy relative to the elements, uncorrected = -1090 meV per atom
space group = No. 14